(1)
An optimized crystal structure of Co. Source: the Open Quantum Materials Database, functional PBE-GGA.

The space group is P-3m1 (No. 164) and the conventional cell measures 2.4644, 2.4644 and 23.8397 Å, with angles of 90.00, 90.00 and 120.00 degrees. Symmetry generates all atoms from Co at (0.3333, 0.6667, 0.0415), Co at (0.3333, 0.6667, 0.2093) and Co at (0.3333, 0.6667, 0.8728).

As for the total moment: 3.40 μB per cell. The value obtained for the density is 4.68 g/cm3. The formation energy is 0.31 eV/f.u. The electronic total energy is -0.2499 Ha/atom. The energy above the most stable polymorph in this dataset is 0.305 eV per atom.

=====

(2)
An optimized crystal structure of GdNiB. Source: the Open Quantum Materials Database, functional PBE-GGA.

The space group is F-43m (No. 216) and the conventional cell measures 5.851, 5.851 and 5.851 Å, with angles of 90.00, 90.00 and 90.00 degrees. Symmetry generates all atoms from Gd at (0.000, 0.000, 0.000), Ni at (0.250, 0.250, 0.750) and B at (0.000, 0.000, 0.500).

As for the total moment: 2.00 μB per cell. The value obtained for the density is 7.52 g/cm3. The electronic total energy is -0.1943 Ha/atom. The energy above the most stable polymorph in this dataset is 0.231 eV per atom.

=====

Copy entry 2 word for word.
An optimized crystal structure of GdNiB. Source: the Open Quantum Materials Database, functional PBE-GGA.

The space group is F-43m (No. 216) and the conventional cell measures 5.851, 5.851 and 5.851 Å, with angles of 90.00, 90.00 and 90.00 degrees. Symmetry generates all atoms from Gd at (0.000, 0.000, 0.000), Ni at (0.250, 0.250, 0.750) and B at (0.000, 0.000, 0.500).

As for the total moment: 2.00 μB per cell. The value obtained for the density is 7.52 g/cm3. The electronic total energy is -0.1943 Ha/atom. The energy above the most stable polymorph in this dataset is 0.231 eV per atom.